## K2Sr2I (PBE)

Data for a relaxed K2Sr2I crystal.

Results
Energy relative to the elements, uncorrected, eV per atom: -0.1079
Size of the total moment, μB/f.u.: 0.838
Relative energy among the computed polymorphs, meV/atom: 208

Lattice parameters (Å, degrees): 5.007 5.007 11.928 77.89 77.89 90.00
Element x y z (fractional)
I  0.000  0.000  0.000
Sr  0.412  0.412  0.175
Sr  0.588  0.588  0.825
K  0.750  0.250  0.500
K  0.250  0.750  0.500